Entry 1:
A relaxed structure of SmMg2Ga2Ir. Source: Alexandria, functional GGA-PBE.

The structure in CIF format:
```
data_SmMg2Ga2Ir
_chemical_formula_sum 'Sm2 Mg4 Ga4 Ir2'
_cell_length_a 5.072
_cell_length_b 5.072
_cell_length_c 10.855
_cell_angle_alpha 90.00
_cell_angle_beta 90.00
_cell_angle_gamma 90.00
_symmetry_space_group_name_H-M 'I 4/m m m'
_symmetry_Int_Tables_number 139
_symmetry_space_group_name_Hall '-I 4 2'
loop_
_atom_site_label
_atom_site_type_symbol
_atom_site_fract_x
_atom_site_fract_y
_atom_site_fract_z
Sm1 Sm 0.000 0.000 0.000
Mg1 Mg 0.000 0.500 0.250
Ga1 Ga 0.000 0.000 0.283
Ir1 Ir 0.000 0.000 0.500
```

Properties
E_tot, eV per atom: -3.677
Crystal system: tetragonal
Energy of formation, eV per formula unit: 0.76

***

Entry 2:
A relaxed structure of SmMgGa2Ir2. Source: Alexandria, functional GGA-PBE.

The structure in CIF format:
```
data_SmMgGa2Ir2
_chemical_formula_sum 'Sm1 Mg1 Ga2 Ir2'
_cell_length_a 4.3764
_cell_length_b 4.3764
_cell_length_c 6.7024
_cell_angle_alpha 90.00
_cell_angle_beta 90.00
_cell_angle_gamma 120.00
_symmetry_space_group_name_H-M 'P -3 m 1'
_symmetry_Int_Tables_number 164
_symmetry_space_group_name_Hall '-P 3 2"'
loop_
_atom_site_label
_atom_site_type_symbol
_atom_site_fract_x
_atom_site_fract_y
_atom_site_fract_z
Sm1 Sm 0.0000 0.0000 0.0000
Mg1 Mg 0.0000 0.0000 0.5000
Ga1 Ga 0.3333 0.6667 0.2988
Ir1 Ir 0.3333 0.6667 0.7040
```

Properties
E_tot, eV per atom: -5.659
Crystal system: trigonal
Energy of formation, eV per formula unit: -3.87

***

Entry 3:
A relaxed structure of Sm2MgGa4Ir3. Source: Alexandria, functional GGA-PBE.

The structure in CIF format:
```
data_Sm2MgGa4Ir3
_chemical_formula_sum 'Sm2 Mg1 Ga4 Ir3'
_cell_length_a 4.098
_cell_length_b 4.098
_cell_length_c 11.392
_cell_angle_alpha 90.00
_cell_angle_beta 90.00
_cell_angle_gamma 90.00
_symmetry_space_group_name_H-M 'P -4 m 2'
_symmetry_Int_Tables_number 115
loop_
_symmetry_equiv_pos_as_xyz
'x,y,z'
'y,-x,-z'
'-x,-y,z'
'-y,x,-z'
'-x,y,z'
'-y,-x,-z'
'x,-y,z'
'y,x,-z'
loop_
_atom_site_label
_atom_site_type_symbol
_atom_site_fract_x
_atom_site_fract_y
_atom_site_fract_z
Sm1 Sm 0.000 0.500 0.235
Mg1 Mg 0.000 0.000 0.500
Ga1 Ga 0.000 0.000 0.000
Ga2 Ga 0.000 0.500 0.644
Ga3 Ga 0.500 0.500 0.000
Ir1 Ir 0.000 0.500 0.865
Ir2 Ir 0.500 0.500 0.500
```

Properties
E_tot, eV per atom: -5.608
Crystal system: tetragonal
Energy of formation, eV per formula unit: -6.35

***

Entry 4:
A relaxed structure of SrMgGa2Ir2. Source: Alexandria, functional GGA-PBE.

The structure in CIF format:
```
data_SrMgGa2Ir2
_chemical_formula_sum 'Sr1 Mg1 Ga2 Ir2'
_cell_length_a 4.3587
_cell_length_b 4.3587
_cell_length_c 7.2988
_cell_angle_alpha 90.00
_cell_angle_beta 90.00
_cell_angle_gamma 120.00
_symmetry_space_group_name_H-M 'P -3 m 1'
_symmetry_Int_Tables_number 164
_symmetry_space_group_name_Hall '-P 3 2"'
loop_
_atom_site_label
_atom_site_type_symbol
_atom_site_fract_x
_atom_site_fract_y
_atom_site_fract_z
Sr1 Sr 0.0000 0.0000 0.0000
Mg1 Mg 0.0000 0.0000 0.5000
Ga1 Ga 0.3333 0.6667 0.2986
Ir1 Ir 0.3333 0.6667 0.6589
```

Properties
E_tot, eV per atom: -5.028
Crystal system: trigonal
Energy of formation, eV per formula unit: -3.12

***

Entry 5:
A relaxed structure of Sr2MgGaIr. Source: Alexandria, functional GGA-PBE.

The structure in CIF format:
```
data_Sr2MgGaIr
_chemical_formula_sum 'Sr2 Mg1 Ga1 Ir1'
_cell_length_a 5.876
_cell_length_b 5.876
_cell_length_c 4.826
_cell_angle_alpha 90.00
_cell_angle_beta 90.00
_cell_angle_gamma 90.00
_symmetry_space_group_name_H-M 'P 4/m m m'
_symmetry_Int_Tables_number 123
_symmetry_space_group_name_Hall '-P 4 2'
loop_
_atom_site_label
_atom_site_type_symbol
_atom_site_fract_x
_atom_site_fract_y
_atom_site_fract_z
Sr1 Sr 0.000 0.500 0.000
Mg1 Mg 0.000 0.000 0.500
Ga1 Ga 0.500 0.500 0.500
Ir1 Ir 0.500 0.500 0.000
```

Properties
E_tot, eV per atom: -3.535
Crystal system: tetragonal
Energy of formation, eV per formula unit: -0.83

***

Entry 6:
A relaxed structure of SrMg2GaIr. Source: Alexandria, functional GGA-PBE.

The structure in CIF format:
```
data_SrMg2GaIr
_chemical_formula_sum 'Sr1 Mg2 Ga1 Ir1'
_cell_length_a 5.058
_cell_length_b 5.058
_cell_length_c 4.862
_cell_angle_alpha 90.00
_cell_angle_beta 90.00
_cell_angle_gamma 90.00
_symmetry_space_group_name_H-M 'P 4/m m m'
_symmetry_Int_Tables_number 123
_symmetry_space_group_name_Hall '-P 4 2'
loop_
_atom_site_label
_atom_site_type_symbol
_atom_site_fract_x
_atom_site_fract_y
_atom_site_fract_z
Sr1 Sr 0.000 0.000 0.000
Mg1 Mg 0.000 0.500 0.500
Ga1 Ga 0.500 0.500 0.000
Ir1 Ir 0.500 0.500 0.500
```

Properties
E_tot, eV per atom: -3.699
Crystal system: tetragonal
Energy of formation, eV per formula unit: -1.73

***

Entry 7:
A relaxed structure of SrMgGaIr. Source: Alexandria, functional GGA-PBE.

The structure in CIF format:
```
data_SrMgGaIr
_chemical_formula_sum 'Sr3 Mg3 Ga3 Ir3'
_cell_length_a 4.4682
_cell_length_b 4.4682
_cell_length_c 16.7817
_cell_angle_alpha 90.00
_cell_angle_beta 90.00
_cell_angle_gamma 120.00
_symmetry_space_group_name_H-M 'R 3 m'
_symmetry_Int_Tables_number 160
_symmetry_space_group_name_Hall 'R 3 -2"'
loop_
_atom_site_label
_atom_site_type_symbol
_atom_site_fract_x
_atom_site_fract_y
_atom_site_fract_z
Sr1 Sr 0.0000 0.0000 0.0000
Mg1 Mg 0.0000 0.0000 0.1895
Ga1 Ga 0.0000 0.0000 0.4618
Ir1 Ir 0.0000 0.0000 0.8034
```

Properties
E_tot, eV per atom: -4.194
Crystal system: trigonal
Energy of formation, eV per formula unit: -1.61

***

Entry 8:
A relaxed structure of SrMgGaIr2. Source: Alexandria, functional GGA-PBE.

The structure in CIF format:
```
data_SrMgGaIr2
_chemical_formula_sum 'Sr2 Mg2 Ga2 Ir4'
_cell_length_a 4.235
_cell_length_b 4.318
_cell_length_c 11.171
_cell_angle_alpha 90.00
_cell_angle_beta 90.00
_cell_angle_gamma 90.00
_symmetry_space_group_name_H-M 'I m m 2'
_symmetry_Int_Tables_number 44
loop_
_symmetry_equiv_pos_as_xyz
'x,y,z'
'-x,-y,z'
'-x,y,z'
'x,-y,z'
'x+1/2,y+1/2,z+1/2'
'-x+1/2,-y+1/2,z+1/2'
'-x+1/2,y+1/2,z+1/2'
'x+1/2,-y+1/2,z+1/2'
loop_
_atom_site_label
_atom_site_type_symbol
_atom_site_fract_x
_atom_site_fract_y
_atom_site_fract_z
Sr1 Sr 0.000 0.000 0.000
Mg1 Mg 0.000 0.500 0.759
Ga1 Ga 0.000 0.000 0.615
Ir1 Ir 0.000 0.000 0.389
Ir2 Ir 0.000 0.500 0.262
```

Properties
E_tot, eV per atom: -5.142
Crystal system: orthorhombic
Energy of formation, eV per formula unit: -1.69

***

> Which value of E_tot does entry 5 give?

-3.535 eV per atom